Record 1
Ho2U2C3: optimized geometry, PBE.

Properties
Density: 11.38 Mg/m³
DOS(E_F): 8.8 states/eV/f.u.
DFT formation energy: -3.619 kcal/mol of atoms

Cell lengths 3.502, 6.093, 6.093 Å; angles 98.99, 106.70, 90.00 degrees
Each line ends with the local moment (μB).
Element x y z (fractional)
Ho1 0.868 0.627 0.737  0.02
Ho2 0.132 0.373 0.263  0.02
U1 0.624 0.881 0.247  0.54
U2 0.376 0.119 0.753  0.54
C1 0.000 0.000 0.000  -0.04
C2 0.756 0.220 0.512  -0.02
C3 0.244 0.780 0.488  -0.02

---

Record 2
Ho2UC3: optimized geometry, PBE.

Properties
Density: 10.52 Mg/m³
DOS(E_F): 1.3 states/eV/f.u.
DFT formation energy: -7.178 kcal/mol of atoms

Cell lengths 6.183, 6.183, 6.118 Å; angles 99.70, 99.70, 120.00 degrees
Element x y z (fractional)
Ho1 0.833 0.167 0.500
Ho2 0.333 0.667 0.000
Ho3 0.168 0.832 0.500
Ho4 0.499 0.501 0.500
U1 0.000 0.000 0.000
U2 0.666 0.334 0.000
C1 0.613 0.946 0.772
C2 0.054 0.387 0.228
C3 0.903 0.593 0.777
C4 0.259 0.236 0.777
C5 0.407 0.097 0.223
C6 0.764 0.741 0.223